# CaYCo (PBE, relaxed)
data_CaYCo
_chemical_formula_sum 'Ca4 Y4 Co4'
_cell_length_a 3.938
_cell_length_b 21.403
_cell_length_c 3.883
_cell_angle_alpha 90.00
_cell_angle_beta 90.00
_cell_angle_gamma 90.00
_symmetry_space_group_name_H-M 'C m c m'
_symmetry_Int_Tables_number 63
_symmetry_space_group_name_Hall '-C 2c 2'
loop_
_atom_site_label
_atom_site_fract_x
_atom_site_fract_y
_atom_site_fract_z
Ca1 0.000 0.186 0.250
Y1 0.000 0.430 0.250
Co1 0.000 0.028 0.250
# Total energy (eV per atom): -5.291
# Calculated volume (Å³/cell): 327
# Calculated formation energy (kJ/mol of atoms): -10